Computed, not measured: crystalline Pm3NpBi4 at its relaxed geometry at the PBE level of DFT.

a = 7.9043 Å, b = 9.1395 Å, c = 7.8996 Å
α = 90.00°, β = 109.50°, γ = 90.00°
Space group P2/c (No. 13)
Inequivalent atoms, fractional coordinates:
Pm: 0.0000 0.1241 0.2500 x2
Pm: 0.0000 0.3740 0.7500 x2
Pm: 0.5000 0.1244 0.7500 x2
Np: 0.5000 0.3749 0.2500 x2
Bi: 0.2516 0.1271 0.0025 x4
Bi: 0.2539 0.3770 0.4994 x4

Values from the calculation:
E_form	-0.673	eV per atom
uncorrected energy	-6.01	eV/atom
theoretical density	9.3	Mg/m³
volume	538	Å³/cell


Computed, not measured: crystalline Ca4FeAu at its relaxed geometry at the PBE level of DFT.

a = 8.9966 Å, b = 8.9966 Å, c = 8.9966 Å
α = 90.00°, β = 90.00°, γ = 90.00°
Space group F-43m (No. 216)
Inequivalent atoms, fractional coordinates:
Ca: 0.1246 0.1246 0.1246 x16
Fe: 0.2500 0.2500 0.7500 x4
Au: 0.0000 0.0000 0.5000 x4

Values from the calculation:
E_form	0.736	eV per atom
uncorrected energy	-2.56	eV/atom
theoretical density	3.8	Mg/m³
volume	728	Å³/cell


Computed, not measured: crystalline Al2FeBr at its relaxed geometry at the PBE level of DFT.

a = 3.1931 Å, b = 3.4098 Å, c = 7.7803 Å
α = 90.00°, β = 91.08°, γ = 90.00°
Space group Pm (No. 6)
Inequivalent atoms, fractional coordinates:
Al: 0.0000 0.0000 0.0000 x1
Al: 0.0142 0.5000 0.3103 x1
Fe: 0.5107 0.0000 0.2328 x1
Br: 0.9883 0.5000 0.7659 x1

Values from the calculation:
uncorrected energy	-4.48	eV/atom
theoretical density	3.7	Mg/m³
volume	85	Å³/cell